Model A:
DFT (PBE) results for an optimized crystal structure of HClF2.

Results
magnetization = 0.0000 μB/atom

Lattice parameters (Å, degrees): 5.042 5.457 5.979 117.12 97.08 102.88
Space group P1 (No. 1)
One atom of each set of equivalent atoms:
H 0.000 0.000 0.000 (multiplicity 1)
H 0.085 0.446 0.286 (multiplicity 1)
Cl 0.423 0.320 0.815 (multiplicity 1)
Cl 0.719 0.422 0.649 (multiplicity 1)
F 0.047 0.208 0.014 (multiplicity 1)
F 0.113 0.590 0.469 (multiplicity 1)
F 0.556 0.138 0.339 (multiplicity 1)
F 0.945 0.760 0.993 (multiplicity 1)



Model B:
DFT (PBE) results for an optimized crystal structure of HClF2.

Results
magnetization = 0.0000 μB/atom

Lattice parameters (Å, degrees): 3.0342 3.0342 16.8276 90.00 90.00 120.00
Space group R-3m (No. 166, hexagonal axes)
One atom of each set of equivalent atoms:
H 0.0000 0.0000 0.0000 (multiplicity 3)
Cl 0.0000 0.0000 0.5000 (multiplicity 3)
F 0.0000 0.0000 0.3866 (multiplicity 6)



Model C:
DFT (PBE) results for an optimized crystal structure of HClF2.

Results
magnetization = 0.0000 μB/atom

Lattice parameters (Å, degrees): 4.868 4.883 5.978 74.71 84.79 84.35
Space group P1 (No. 1)
One atom of each set of equivalent atoms:
H 0.000 0.000 0.000 (multiplicity 1)
H 0.230 0.175 0.208 (multiplicity 1)
Cl 0.575 0.578 0.927 (multiplicity 1)
Cl 0.752 0.808 0.623 (multiplicity 1)
F 0.036 0.999 0.170 (multiplicity 1)
F 0.362 0.295 0.250 (multiplicity 1)
F 0.586 0.654 0.454 (multiplicity 1)
F 0.967 0.018 0.783 (multiplicity 1)



Model D:
DFT (PBE) results for an optimized crystal structure of HClF2.

Results
magnetization = 0.1533 μB/atom

Lattice parameters (Å, degrees): 6.773 7.503 4.801 90.00 90.00 90.00
Space group Pna2_1 (No. 33)
One atom of each set of equivalent atoms:
H 0.004 0.015 0.000 (multiplicity 4)
Cl 0.006 0.506 0.829 (multiplicity 4)
F 0.017 0.071 0.819 (multiplicity 4)
F 0.183 0.701 0.828 (multiplicity 4)



Verdict on stability: model B comes out at the bottom.



Model A:
DFT (PBE) results for an optimized crystal structure of HClF2.

Results
magnetization = 0.5722 μB/atom

Lattice parameters (Å, degrees): 5.740 5.740 5.740 90.00 90.00 90.00
Space group Fm-3m (No. 225)
One atom of each set of equivalent atoms:
H 0.000 0.000 0.000 (multiplicity 4)
Cl 0.000 0.000 0.500 (multiplicity 4)
F 0.250 0.250 0.250 (multiplicity 8)



Model B:
DFT (PBE) results for an optimized crystal structure of HClF2.

Results
magnetization = 0.0000 μB/atom

Lattice parameters (Å, degrees): 4.695 4.695 7.274 90.00 90.00 90.00
Space group I-42d (No. 122)
One atom of each set of equivalent atoms:
H 0.000 0.000 0.000 (multiplicity 4)
Cl 0.000 0.000 0.500 (multiplicity 4)
F 0.061 0.750 0.125 (multiplicity 8)



Model C:
DFT (PBE) results for an optimized crystal structure of HClF2.

Results
magnetization = 0.5000 μB/atom

Lattice parameters (Å, degrees): 3.2015 3.2015 18.0292 90.00 90.00 120.00
Space group R-3m (No. 166, hexagonal axes)
One atom of each set of equivalent atoms:
H 0.0000 0.0000 0.0000 (multiplicity 3)
Cl 0.0000 0.0000 0.5000 (multiplicity 3)
F 0.0000 0.0000 0.0636 (multiplicity 6)



Model D:
DFT (PBE) results for an optimized crystal structure of HClF2.

Results
magnetization = 0.0000 μB/atom

Lattice parameters (Å, degrees): 3.782 3.893 4.887 81.11 76.16 80.09
Space group P1 (No. 1)
One atom of each set of equivalent atoms:
H 0.000 0.000 0.000 (multiplicity 1)
Cl 0.495 0.927 0.499 (multiplicity 1)
F 0.151 0.166 0.874 (multiplicity 1)
F 0.766 0.746 0.204 (multiplicity 1)



Verdict on stability: model A comes out at the bottom.